[1]
First-principles (PBE-GGA) data for a relaxed structure of Er4FeAg3, as listed in Alexandria via LeMat-Bulk.

Geometry as CIF:
```
data_Er4FeAg3
_space_group_name_H-M_alt 'P 4/m m m'
_space_group_IT_number 123
_space_group_name_Hall '-P 4 2'
_cell_length_a 3.508
_cell_length_b 3.508
_cell_length_c 14.474
_cell_angle_alpha 90.00
_cell_angle_beta 90.00
_cell_angle_gamma 90.00
loop_
_atom_site_label
_atom_site_fract_x
_atom_site_fract_y
_atom_site_fract_z
Er1 0.000 0.000 0.111
Er2 0.000 0.000 0.372
Fe1 0.500 0.500 0.000
Ag1 0.500 0.500 0.243
Ag2 0.500 0.500 0.500
```

Summary:
DOS at the Fermi energy	7.8	states/eV/f.u.
ΔH_f (0 K)	-0.22	eV per atom
spin magnetization	1.65	μB per formula unit

***

[2]
First-principles (PBE-GGA) data for a relaxed structure of Er2FeAg, as listed in Alexandria via LeMat-Bulk.

Geometry as CIF:
```
data_Er2FeAg
_space_group_name_H-M_alt 'P 4/m m m'
_space_group_IT_number 123
_space_group_name_Hall '-P 4 2'
_cell_length_a 3.318
_cell_length_b 3.318
_cell_length_c 7.479
_cell_angle_alpha 90.00
_cell_angle_beta 90.00
_cell_angle_gamma 90.00
loop_
_atom_site_label
_atom_site_fract_x
_atom_site_fract_y
_atom_site_fract_z
Er1 0.000 0.000 0.215
Fe1 0.500 0.500 0.000
Ag1 0.500 0.500 0.500
```

Summary:
DOS at the Fermi energy	2.2	states/eV/f.u.
ΔH_f (0 K)	-0.15	eV per atom
spin magnetization	0.00	μB per formula unit

***

[3]
First-principles (PBE-GGA) data for a relaxed structure of Er8FeAg2, as listed in Alexandria via LeMat-Bulk.

Geometry as CIF:
```
data_Er8FeAg2
_space_group_name_H-M_alt 'C 1 2/m 1'
_space_group_IT_number 12
_space_group_name_Hall '-C 2y'
_cell_length_a 17.052
_cell_length_b 5.188
_cell_length_c 6.742
_cell_angle_alpha 90.00
_cell_angle_beta 108.52
_cell_angle_gamma 90.00
loop_
_atom_site_label
_atom_site_fract_x
_atom_site_fract_y
_atom_site_fract_z
Er1 0.026 0.000 0.295
Er2 0.090 0.500 0.922
Er3 0.157 0.500 0.462
Er4 0.199 0.000 0.799
Fe1 0.000 0.500 0.500
Ag1 0.183 0.000 0.210
```

Summary:
DOS at the Fermi energy	9.5	states/eV/f.u.
ΔH_f (0 K)	-0.09	eV per atom
spin magnetization	0.00	μB per formula unit

***

[4]
First-principles (PBE-GGA) data for a relaxed structure of Er6Fe2Ag, as listed in Alexandria via LeMat-Bulk.

Geometry as CIF:
```
data_Er6Fe2Ag
_space_group_name_H-M_alt 'I m m m'
_space_group_IT_number 71
_space_group_name_Hall '-I 2 2'
_cell_length_a 9.290
_cell_length_b 9.493
_cell_length_c 9.765
_cell_angle_alpha 90.00
_cell_angle_beta 90.00
_cell_angle_gamma 90.00
loop_
_atom_site_label
_atom_site_fract_x
_atom_site_fract_y
_atom_site_fract_z
Er1 0.000 0.213 0.221
Er2 0.204 0.500 0.186
Er3 0.209 0.313 0.500
Fe1 0.000 0.385 0.000
Fe2 0.000 0.500 0.390
Ag1 0.000 0.000 0.000
Ag2 0.000 0.000 0.500
```

Summary:
DOS at the Fermi energy	8.8	states/eV/f.u.
ΔH_f (0 K)	-0.12	eV per atom
spin magnetization	0.47	μB per formula unit

***

[5]
First-principles (PBE-GGA) data for a relaxed structure of HoErFeAg, as listed in Alexandria via LeMat-Bulk.

Geometry as CIF:
```
data_HoErFeAg
_space_group_name_H-M_alt 'F -4 3 m'
_space_group_IT_number 216
_space_group_name_Hall 'F -4 2 3'
_cell_length_a 6.912
_cell_length_b 6.912
_cell_length_c 6.912
_cell_angle_alpha 90.00
_cell_angle_beta 90.00
_cell_angle_gamma 90.00
loop_
_atom_site_label
_atom_site_fract_x
_atom_site_fract_y
_atom_site_fract_z
Ho1 0.000 0.000 0.000
Er1 0.000 0.000 0.500
Fe1 0.250 0.250 0.250
Ag1 0.250 0.250 0.750
```

Summary:
DOS at the Fermi energy	2.8	states/eV/f.u.
ΔH_f (0 K)	-0.03	eV per atom
spin magnetization	0.00	μB per formula unit

***

[6]
First-principles (PBE-GGA) data for a relaxed structure of ErLuFeAg, as listed in Alexandria via LeMat-Bulk.

Geometry as CIF:
```
data_ErLuFeAg
_space_group_name_H-M_alt 'F -4 3 m'
_space_group_IT_number 216
_space_group_name_Hall 'F -4 2 3'
_cell_length_a 6.854
_cell_length_b 6.854
_cell_length_c 6.854
_cell_angle_alpha 90.00
_cell_angle_beta 90.00
_cell_angle_gamma 90.00
loop_
_atom_site_label
_atom_site_fract_x
_atom_site_fract_y
_atom_site_fract_z
Er1 0.000 0.000 0.000
Lu1 0.000 0.000 0.500
Fe1 0.250 0.250 0.750
Ag1 0.250 0.250 0.250
```

Summary:
DOS at the Fermi energy	2.4	states/eV/f.u.
ΔH_f (0 K)	-0.06	eV per atom
spin magnetization	0.00	μB per formula unit

***

[7]
First-principles (PBE-GGA) data for a relaxed structure of ErScFeAg, as listed in Alexandria via LeMat-Bulk.

Geometry as CIF:
```
data_ErScFeAg
_space_group_name_H-M_alt 'F -4 3 m'
_space_group_IT_number 216
_space_group_name_Hall 'F -4 2 3'
_cell_length_a 6.730
_cell_length_b 6.730
_cell_length_c 6.730
_cell_angle_alpha 90.00
_cell_angle_beta 90.00
_cell_angle_gamma 90.00
loop_
_atom_site_label
_atom_site_fract_x
_atom_site_fract_y
_atom_site_fract_z
Er1 0.000 0.000 0.000
Sc1 0.000 0.000 0.500
Fe1 0.250 0.250 0.750
Ag1 0.250 0.250 0.250
```

Summary:
DOS at the Fermi energy	2.7	states/eV/f.u.
ΔH_f (0 K)	-0.05	eV per atom
spin magnetization	0.00	μB per formula unit

***

[8]
First-principles (PBE-GGA) data for a relaxed structure of TbErFeAg, as listed in Alexandria via LeMat-Bulk.

Geometry as CIF:
```
data_TbErFeAg
_space_group_name_H-M_alt 'F -4 3 m'
_space_group_IT_number 216
_space_group_name_Hall 'F -4 2 3'
_cell_length_a 6.943
_cell_length_b 6.943
_cell_length_c 6.943
_cell_angle_alpha 90.00
_cell_angle_beta 90.00
_cell_angle_gamma 90.00
loop_
_atom_site_label
_atom_site_fract_x
_atom_site_fract_y
_atom_site_fract_z
Tb1 0.000 0.000 0.000
Er1 0.000 0.000 0.500
Fe1 0.250 0.250 0.750
Ag1 0.250 0.250 0.250
```

Summary:
DOS at the Fermi energy	3.0	states/eV/f.u.
ΔH_f (0 K)	-0.01	eV per atom
spin magnetization	0.00	μB per formula unit